Entry 1:
{"formula": "CeAs2", "functional": "PBE", "state": "relaxed", "formation_enthalpy_0k_ev_per_atom": -1.00, "rho_g_cm3": 7.00, "m_tot_mub_per_cell": 0.00, "cell": [[7.053, 0.000, 0.000], [0.000, 3.980, 0.000], [0.000, 0.000, 9.809]], "species": ["Ce", "Ce", "Ce", "Ce", "As", "As", "As", "As", "As", "As", "As", "As"], "fractional_positions": [[0.195, 0.250, 0.146], [0.305, 0.750, 0.646], [0.695, 0.250, 0.354], [0.805, 0.750, 0.854], [0.107, 0.250, 0.452], [0.117, 0.250, 0.830], [0.383, 0.750, 0.330], [0.393, 0.750, 0.952], [0.607, 0.250, 0.048], [0.617, 0.250, 0.670], [0.883, 0.750, 0.170], [0.893, 0.750, 0.548]]}

---

Entry 2:
{"formula": "CaAlBr", "functional": "PBE", "state": "relaxed", "rho_g_cm3": 2.69, "e_form_raw_ev_per_atom": -0.542, "m_tot_mub_per_cell": 0.00, "cell": [[-1.856, 1.856, 6.595], [1.856, -1.856, 6.595], [1.856, 1.856, -6.595]], "species": ["Ca", "Al", "Br"], "fractional_positions": [[0.000, 0.000, 0.000], [0.639, 0.639, 0.000], [0.384, 0.384, 0.000]]}

---

Entry 3:
{"formula": "LaCd9Rh3", "functional": "PBE", "state": "relaxed", "formation_enthalpy_0k_ev_per_atom": -0.21, "rho_g_cm3": 9.00, "m_tot_mub_per_cell": 0.00, "cell": [[2.884, -6.747, 0.000], [2.884, 6.747, 0.000], [-2.851, 0.000, 6.920]], "species": ["La", "Cd", "Cd", "Cd", "Cd", "Cd", "Cd", "Cd", "Cd", "Cd", "Rh", "Rh", "Rh"], "fractional_positions": [[0.000, 0.000, 0.000], [0.024, 0.674, 0.669], [0.277, 0.500, 0.785], [0.326, 0.976, 0.331], [0.500, 0.277, 0.785], [0.500, 0.500, 0.500], [0.500, 0.723, 0.215], [0.674, 0.024, 0.669], [0.723, 0.500, 0.215], [0.976, 0.326, 0.331], [0.000, 0.000, 0.500], [0.000, 0.500, 0.000], [0.500, 0.000, 0.000]]}

---

Entry 4:
{"formula": "V12P5H2", "functional": "PBE", "state": "relaxed", "rho_g_cm3": 5.26, "m_tot_mub_per_cell": 0.00, "total_energy_ev_per_cell": -151.33, "cell": [[6.175, -3.063, 0.000], [6.175, 3.063, 0.000], [-1.703, 0.000, 6.405]], "species": ["V", "V", "V", "V", "V", "V", "V", "V", "V", "V", "V", "V", "P", "P", "P", "P", "P", "H", "H"], "fractional_positions": [[0.004, 0.004, 0.172], [0.101, 0.601, 0.920], [0.118, 0.609, 0.433], [0.391, 0.882, 0.567], [0.399, 0.899, 0.080], [0.496, 0.496, 0.753], [0.504, 0.504, 0.247], [0.601, 0.101, 0.920], [0.609, 0.118, 0.433], [0.882, 0.391, 0.567], [0.899, 0.399, 0.080], [0.996, 0.996, 0.828], [0.000, 0.000, 0.500], [0.288, 0.288, 0.639], [0.298, 0.298, 0.153], [0.702, 0.702, 0.847], [0.712, 0.712, 0.361], [0.280, 0.720, 0.000], [0.720, 0.280, 0.000]]}

---

Entry 5:
{"formula": "Tb3Dy3Pd4", "functional": "PBE", "state": "relaxed", "formation_enthalpy_0k_ev_per_atom": -0.73, "rho_g_cm3": 9.56, "m_tot_mub_per_cell": 0.00, "cell": [[3.948, 0.000, 0.000], [0.000, 5.539, 5.522], [0.000, -5.539, 5.522]], "species": ["Tb", "Tb", "Tb", "Dy", "Dy", "Dy", "Pd", "Pd", "Pd", "Pd"], "fractional_positions": [[0.000, 0.000, 0.000], [0.000, 0.500, 0.831], [0.000, 0.831, 0.500], [0.000, 0.331, 0.331], [0.500, 0.165, 0.665], [0.500, 0.665, 0.165], [0.500, 0.035, 0.298], [0.500, 0.298, 0.035], [0.500, 0.533, 0.533], [0.500, 0.797, 0.797]]}

---

Entry 6:
{"formula": "Sc2Zn2Ag", "functional": "PBE", "state": "relaxed", "formation_enthalpy_0k_ev_per_atom": -0.01, "rho_g_cm3": 5.34, "m_tot_mub_per_cell": 0.00, "cell": [[-1.768, 1.768, 8.174], [1.768, -1.768, 8.174], [1.768, 1.768, -8.174]], "species": ["Sc", "Sc", "Zn", "Zn", "Ag"], "fractional_positions": [[0.101, 0.101, 0.000], [0.899, 0.899, 0.000], [0.250, 0.750, 0.500], [0.750, 0.250, 0.500], [0.500, 0.500, 0.000]]}